A plane-wave DFT calculation with GGA-PBE was carried out for an optimized crystal structure of InSn2Sb.

Cell lengths 6.6659, 6.6659, 8.1671 Å; angles 65.91, 65.91, 90.00 degrees
Closest atoms and distances in Å follow each position.
Fractional positions:
In 0.5000 0.5000 0.0000  4 Sn 2.86
Sn 0.1315 0.6250 0.2500  2 In 2.86, 2 Sb 2.91
Sn 0.6185 0.1250 0.2500  2 In 2.86, 2 Sb 2.91
Sn 0.3750 0.3815 0.7500  2 In 2.86, 2 Sb 2.91
In 0.2500 0.7500 0.5000  4 Sn 2.86
Sb 0.0000 0.0000 0.0000  4 Sn 2.91
Sb 0.7500 0.2500 0.5000  4 Sn 2.91
Sn 0.8750 0.8685 0.7500  2 In 2.86, 2 Sb 2.91

## Properties
SG: I-42d
Raw formation energy in meV/atom: 30
N(E_F) in states/eV/atom: 0.02
Magnetic moment in μB per formula unit: 0.00
Polymorph energy (0 for the lowest one) in meV/atom: 0


A plane-wave DFT calculation with GGA-PBE was carried out for an optimized crystal structure of In2SnSb2.

Cell lengths 8.4619, 8.4619, 3.9796 Å; angles 90.00, 90.00, 90.00 degrees
Closest atoms and distances in Å follow each position.
Fractional positions:
In 0.8530 0.3530 0.5000  6 Sb 3.10-3.23
In 0.3530 0.1470 0.5000  6 Sb 3.10-3.23
Sb 0.1539 0.3461 0.0000  6 In 3.10-3.23, 2 Sn 3.20
Sb 0.6539 0.1539 0.0000  6 In 3.10-3.23, 2 Sn 3.20
Sn 0.0000 0.0000 0.0000  4 Sb 3.20
In 0.1470 0.6470 0.5000  6 Sb 3.10-3.23
Sb 0.8461 0.6539 0.0000  6 In 3.10-3.23, 2 Sn 3.20
Sn 0.5000 0.5000 0.0000  4 Sb 3.20
Sb 0.3461 0.8461 0.0000  6 In 3.10-3.23, 2 Sn 3.20
In 0.6470 0.8530 0.5000  6 Sb 3.10-3.23

## Properties
SG: P4/mbm
Raw formation energy in meV/atom: 75
N(E_F) in states/eV/atom: 0.47
Magnetic moment in μB per formula unit: 0.00
Polymorph energy (0 for the lowest one) in meV/atom: 0


A plane-wave DFT calculation with GGA-PBE was carried out for an optimized crystal structure of InSn2Sb.

Cell lengths 4.2199, 4.2199, 8.1448 Å; angles 74.99, 74.99, 60.00 degrees
Closest atoms and distances in Å follow each position.
Fractional positions:
In 0.4998 0.4998 0.5007  6 Sn 3.16-3.17
Sn 0.2530 0.2530 0.2410  3 Sb 3.09, 3 In 3.16
Sb 0.6678 0.6678 0.9967  6 Sn 3.05-3.09
Sn 0.0795 0.0795 0.7616  3 Sb 3.05, 3 In 3.17

## Properties
SG: R3m
Raw formation energy in meV/atom: 69
N(E_F) in states/eV/atom: 0.48
Magnetic moment in μB per formula unit: 0.00
Polymorph energy (0 for the lowest one) in meV/atom: 39


A plane-wave DFT calculation with GGA-PBE was carried out for an optimized crystal structure of In2SnSb2.

Cell lengths 4.2540, 4.2540, 8.8924 Å; angles 76.16, 76.16, 90.00 degrees
Closest atoms and distances in Å follow each position.
Fractional positions:
In 0.4045 0.4045 0.1911  1 In 3.20, 4 Sb 3.35, 4 Sn 3.41
Sb 0.2500 0.7500 0.5000  4 Sb 3.01, 4 In 3.35
Sb 0.7500 0.2500 0.5000  4 Sb 3.01, 4 In 3.35
In 0.5955 0.5955 0.8089  1 In 3.20, 4 Sb 3.35, 4 Sn 3.41
Sn 0.0000 0.0000 0.0000  8 In 3.41

## Properties
SG: I4/mmm
Raw formation energy in meV/atom: 178
N(E_F) in states/eV/atom: 0.59
Magnetic moment in μB per formula unit: 0.00
Polymorph energy (0 for the lowest one) in meV/atom: 102


A plane-wave DFT calculation with GGA-PBE was carried out for an optimized crystal structure of In2SnSb2.

Cell lengths 8.3991, 8.3991, 3.9639 Å; angles 90.00, 90.00, 90.00 degrees
Closest atoms and distances in Å follow each position.
Fractional positions:
Sn 0.0000 0.0000 0.0000  4 In 3.26
Sb 0.6626 0.8374 0.5000  6 In 3.10-3.21
In 0.6366 0.1366 0.0000  6 Sb 3.10-3.21, 1 In 3.24, 2 Sn 3.26
Sn 0.5000 0.5000 0.0000  4 In 3.26
Sb 0.8374 0.3374 0.5000  6 In 3.10-3.21
In 0.3634 0.8634 0.0000  6 Sb 3.10-3.21, 1 In 3.24, 2 Sn 3.26
Sb 0.1626 0.6626 0.5000  6 In 3.10-3.21
In 0.1366 0.3634 0.0000  6 Sb 3.10-3.21, 1 In 3.24, 2 Sn 3.26
In 0.8634 0.6366 0.0000  6 Sb 3.10-3.21, 1 In 3.24, 2 Sn 3.26
Sb 0.3374 0.1626 0.5000  6 In 3.10-3.21

## Properties
SG: P4/mbm
Raw formation energy in meV/atom: 145
N(E_F) in states/eV/atom: 0.58
Magnetic moment in μB per formula unit: 0.00
Polymorph energy (0 for the lowest one) in meV/atom: 69


A plane-wave DFT calculation with GGA-PBE was carried out for an optimized crystal structure of In2SnSb3.

Cell lengths 8.1369, 8.1369, 8.4461 Å; angles 99.60, 99.60, 120.12 degrees
Closest atoms and distances in Å follow each position.
Fractional positions:
Sn 0.9277 0.1004 0.0141  4 Sb 2.92-2.97
In 0.2637 0.7630 0.0104  4 Sb 2.89-2.91
In 0.4334 0.5968 0.5089  4 Sb 2.89-2.91
Sn 0.1004 0.9277 0.5141  4 Sb 2.92-2.97
In 0.5968 0.4334 0.0089  4 Sb 2.89-2.91
Sb 0.0543 0.2199 0.3873  2 In 2.89, 2 Sn 2.92-2.97
Sb 0.3887 0.8820 0.3758  3 In 2.89-2.91, 1 Sn 2.94
In 0.7630 0.2637 0.5104  4 Sb 2.89-2.91
Sb 0.5483 0.7169 0.8747  3 In 2.90-2.91, 1 Sn 2.92
Sb 0.7169 0.5483 0.3747  3 In 2.90-2.91, 1 Sn 2.92
Sb 0.2199 0.0543 0.8873  2 In 2.89, 2 Sn 2.92-2.97
Sb 0.8820 0.3887 0.8758  3 In 2.89-2.91, 1 Sn 2.94

## Properties
SG: Cc
Raw formation energy in meV/atom: -8
N(E_F) in states/eV/atom: 0.41
Magnetic moment in μB per formula unit: 0.00


A plane-wave DFT calculation with GGA-PBE was carried out for an optimized crystal structure of InSnSb2.

Cell lengths 4.8700, 4.7965, 4.7965 Å; angles 90.00, 90.00, 90.00 degrees
Closest atoms and distances in Å follow each position.
Fractional positions:
In 0.5000 0.5000 0.5000  4 Sn 3.39, 8 Sb 3.42
Sb 0.0000 0.0000 0.5000  4 Sb 3.39, 4 In 3.42, 4 Sn 3.42
Sn 0.5000 0.0000 0.0000  4 In 3.39, 8 Sb 3.42
Sb 0.0000 0.5000 0.0000  4 Sb 3.39, 4 In 3.42, 4 Sn 3.42

## Properties
SG: P4/mmm
Raw formation energy in meV/atom: 115
N(E_F) in states/eV/atom: 0.41
Magnetic moment in μB per formula unit: 0.00
Polymorph energy (0 for the lowest one) in meV/atom: 110


A plane-wave DFT calculation with GGA-PBE was carried out for an optimized crystal structure of InSn2Sb.

Cell lengths 5.3891, 5.3891, 5.3891 Å; angles 60.00, 60.00, 60.00 degrees
Closest atoms and distances in Å follow each position.
Fractional positions:
In 0.5000 0.5000 0.5000  8 Sn 3.30
Sb 0.0000 0.0000 0.0000  8 Sn 3.30
Sn 0.7500 0.7500 0.7500  4 In 3.30, 4 Sb 3.30
Sn 0.2500 0.2500 0.2500  4 In 3.30, 4 Sb 3.30

## Properties
SG: Fm-3m
Raw formation energy in meV/atom: 76
N(E_F) in states/eV/atom: 0.49
Magnetic moment in μB per formula unit: 0.00
Polymorph energy (0 for the lowest one) in meV/atom: 46